Record 1
Computed, not measured: CaInReBi2 after structural relaxation at the PBE level of DFT.

a b c (Å): 5.3237 5.3237 5.7011
angles (deg): 90.00 90.00 90.00
Space group P4/mmm (No. 123)
Unique sites:
Ca: 0.0000 0.0000 0.0000 [1 per cell]
In: 0.5000 0.5000 0.0000 [1 per cell]
Re: 0.0000 0.0000 0.5000 [1 per cell]
Bi: 0.0000 0.5000 0.5000 [2 per cell]

Values from the calculation:
Formation enthalpy at 0 K: 221 kJ/mol of formula units
Energy relative to the lowest polymorph listed for this composition: 21 kJ/mol of formula units

***

Record 2
Computed, not measured: CaInReBi2 after structural relaxation at the PBE level of DFT.

a b c (Å): 5.4200 5.4200 5.2798
angles (deg): 90.00 90.00 90.00
Space group P4/mmm (No. 123)
Unique sites:
Ca: 0.0000 0.0000 0.0000 [1 per cell]
In: 0.5000 0.5000 0.0000 [1 per cell]
Re: 0.5000 0.5000 0.5000 [1 per cell]
Bi: 0.0000 0.5000 0.5000 [2 per cell]

Values from the calculation:
Formation enthalpy at 0 K: 200 kJ/mol of formula units
Energy relative to the lowest polymorph listed for this composition: 0 kJ/mol of formula units

***

Record 3
Computed, not measured: CaInBiSb2 after structural relaxation at the PBE level of DFT.

a b c (Å): 5.9796 5.9796 5.5653
angles (deg): 90.00 90.00 90.00
Space group P4/mmm (No. 123)
Unique sites:
Ca: 0.0000 0.0000 0.0000 [1 per cell]
In: 0.5000 0.5000 0.0000 [1 per cell]
Bi: 0.5000 0.5000 0.5000 [1 per cell]
Sb: 0.0000 0.5000 0.5000 [2 per cell]

Values from the calculation:
ΔE_f (raw): 0.350 eV/atom

***

Record 4
Computed, not measured: Ca2InBiSb after structural relaxation at the PBE level of DFT.

a b c (Å): 8.6515 4.6169 8.8431
angles (deg): 90.00 116.19 90.00
Space group P2_1/m (No. 11)
Unique sites:
Ca: 0.0384 0.2500 0.3235 [2 per cell]
Ca: 0.4289 0.7500 0.2916 [2 per cell]
In: 0.3878 0.7500 0.9154 [2 per cell]
Bi: 0.1464 0.2500 0.9935 [2 per cell]
Sb: 0.2752 0.7500 0.5565 [2 per cell]

Values from the calculation:
ΔE_f (raw): -0.680 eV/atom

***

Record 5
Computed, not measured: Ca3In3SnBi2 after structural relaxation at the PBE level of DFT.

a b c (Å): 8.4015 8.4015 4.5301
angles (deg): 90.00 90.00 120.00
Space group P-62m (No. 189)
Unique sites:
Ca: 0.0000 0.3983 0.0000 [3 per cell]
In: 0.0000 0.7507 0.5000 [3 per cell]
Sn: 0.0000 0.0000 0.0000 [1 per cell]
Bi: 0.3333 0.6667 0.5000 [2 per cell]

Values from the calculation:
Formation enthalpy at 0 K: -389 kJ/mol of formula units

***

Record 6
Computed, not measured: Sr2CaIn2Bi4 after structural relaxation at the PBE level of DFT.

a b c (Å): 17.0700 4.8714 7.8878
angles (deg): 90.00 108.16 90.00
Space group C2/m (No. 12)
Unique sites:
Sr: 0.1283 0.0000 0.0875 [4 per cell]
Ca: 0.0000 0.0000 0.5000 [2 per cell]
In: 0.1651 0.5000 0.4993 [4 per cell]
Bi: 0.0007 0.5000 0.2127 [4 per cell]
Bi: 0.2136 0.0000 0.7364 [4 per cell]

Values from the calculation:
Formation enthalpy at 0 K: -471 kJ/mol of formula units

***

Record 7
Computed, not measured: CaTbInBi after structural relaxation at the PBE level of DFT.

a b c (Å): 7.7708 7.7708 7.7708
angles (deg): 90.00 90.00 90.00
Space group F-43m (No. 216)
Unique sites:
Ca: 0.0000 0.0000 0.0000 [4 per cell]
Tb: 0.0000 0.0000 0.5000 [4 per cell]
In: 0.2500 0.2500 0.7500 [4 per cell]
Bi: 0.2500 0.2500 0.2500 [4 per cell]

Values from the calculation:
Formation enthalpy at 0 K: -185 kJ/mol of formula units

***

Record 8
Computed, not measured: CaInTcBi2 after structural relaxation at the PBE level of DFT.

a b c (Å): 5.4001 5.4001 5.3024
angles (deg): 90.00 90.00 90.00
Space group P4/mmm (No. 123)
Unique sites:
Ca: 0.0000 0.0000 0.0000 [1 per cell]
In: 0.5000 0.5000 0.0000 [1 per cell]
Tc: 0.5000 0.5000 0.5000 [1 per cell]
Bi: 0.0000 0.5000 0.5000 [2 per cell]

Values from the calculation:
Formation enthalpy at 0 K: 96 kJ/mol of formula units

***

Record 9
Computed, not measured: CaTl2InBi2 after structural relaxation at the PBE level of DFT.

a b c (Å): 4.8715 10.6207 7.6018
angles (deg): 90.00 90.00 90.00
Space group Pmc2_1 (No. 26)
Unique sites:
Ca: 0.0000 0.0605 0.0000 [2 per cell]
Tl: 0.0000 0.3347 0.3457 [2 per cell]
Tl: 0.5000 0.4633 0.0809 [2 per cell]
In: 0.5000 0.1793 0.6831 [2 per cell]
Bi: 0.0000 0.3359 0.7933 [2 per cell]
Bi: 0.5000 0.1051 0.2859 [2 per cell]

Values from the calculation:
Formation enthalpy at 0 K: -149 kJ/mol of formula units

***

Record 10
Computed, not measured: CaTmInBi after structural relaxation at the PBE level of DFT.

a b c (Å): 7.7219 7.7219 7.7219
angles (deg): 90.00 90.00 90.00
Space group F-43m (No. 216)
Unique sites:
Ca: 0.0000 0.0000 0.0000 [4 per cell]
Tm: 0.0000 0.0000 0.5000 [4 per cell]
In: 0.2500 0.2500 0.2500 [4 per cell]
Bi: 0.2500 0.2500 0.7500 [4 per cell]

Values from the calculation:
Formation enthalpy at 0 K: -171 kJ/mol of formula units

***

Record 11
Computed, not measured: CaZnInBi after structural relaxation at the PBE level of DFT.

a b c (Å): 7.6847 7.6847 7.6847
angles (deg): 90.00 90.00 90.00
Space group F-43m (No. 216)
Unique sites:
Ca: 0.0000 0.0000 0.0000 [4 per cell]
Zn: 0.2500 0.2500 0.7500 [4 per cell]
In: 0.0000 0.0000 0.5000 [4 per cell]
Bi: 0.2500 0.2500 0.2500 [4 per cell]

Values from the calculation:
Formation enthalpy at 0 K: -81 kJ/mol of formula units

***

Record 12
Computed, not measured: Ca8Bi2Ir after structural relaxation at the PBE level of DFT.

a b c (Å): 19.3600 5.3584 7.1743
angles (deg): 90.00 107.16 90.00
Space group C2/m (No. 12)
Unique sites:
Ca: 0.0216 0.0000 0.3023 [4 per cell]
Ca: 0.0873 0.5000 0.9068 [4 per cell]
Ca: 0.1402 0.5000 0.4439 [4 per cell]
Ca: 0.2052 0.0000 0.7813 [4 per cell]
Bi: 0.1896 0.0000 0.2212 [4 per cell]
Ir: 0.0000 0.5000 0.5000 [2 per cell]

Values from the calculation:
Formation enthalpy at 0 K: -481 kJ/mol of formula units

***

Record 13
Computed, not measured: CaBi3Ir after structural relaxation at the PBE level of DFT.

a b c (Å): 5.6415 5.6415 5.6415
angles (deg): 90.00 90.00 90.00
Space group Pm-3m (No. 221)
Unique sites:
Ca: 0.0000 0.0000 0.0000 [1 per cell]
Bi: 0.0000 0.0000 0.5000 [3 per cell]
Ir: 0.5000 0.5000 0.5000 [1 per cell]

Values from the calculation:
Formation enthalpy at 0 K: 705 kJ/mol of formula units
Energy relative to the lowest polymorph listed for this composition: 626 kJ/mol of formula units

***

Record 14
Computed, not measured: Ca2Bi2Ir after structural relaxation at the PBE level of DFT.

a b c (Å): 7.4481 7.4481 4.8860
angles (deg): 90.00 90.00 90.00
Space group P4/mbm (No. 127)
Unique sites:
Ca: 0.1669 0.3331 0.0000 [4 per cell]
Bi: 0.1514 0.6514 0.5000 [4 per cell]
Ir: 0.0000 0.0000 0.5000 [2 per cell]

Values from the calculation:
Formation enthalpy at 0 K: -170 kJ/mol of formula units

***

Record 15
Computed, not measured: Ca2BiIr2 after structural relaxation at the PBE level of DFT.

a b c (Å): 4.4637 4.4637 12.2486
angles (deg): 90.00 90.00 90.00
Space group I4/mmm (No. 139)
Unique sites:
Ca: 0.0000 0.5000 0.2500 [4 per cell]
Bi: 0.0000 0.0000 0.0000 [2 per cell]
Ir: 0.0000 0.0000 0.4001 [4 per cell]

Values from the calculation:
Formation enthalpy at 0 K: 136 kJ/mol of formula units
Energy relative to the lowest polymorph listed for this composition: 266 kJ/mol of formula units

***

Record 16
Computed, not measured: CaBi12Ir4 after structural relaxation at the PBE level of DFT.

a b c (Å): 9.8775 9.8775 9.8775
angles (deg): 90.00 90.00 90.00
Space group Im-3 (No. 204)
Unique sites:
Ca: 0.0000 0.0000 0.0000 [2 per cell]
Bi: 0.0000 0.3344 0.1581 [24 per cell]
Ir: 0.2500 0.2500 0.2500 [8 per cell]

Values from the calculation:
Formation enthalpy at 0 K: -182 kJ/mol of formula units

***

Record 17
Computed, not measured: Ca2BiIr2 after structural relaxation at the PBE level of DFT.

a b c (Å): 7.2212 7.2212 4.4840
angles (deg): 90.00 90.00 90.00
Space group P4/mbm (No. 127)
Unique sites:
Ca: 0.1730 0.3270 0.0000 [4 per cell]
Bi: 0.0000 0.0000 0.5000 [2 per cell]
Ir: 0.1219 0.6219 0.5000 [4 per cell]

Values from the calculation:
Formation enthalpy at 0 K: -130 kJ/mol of formula units
Energy relative to the lowest polymorph listed for this composition: 0 kJ/mol of formula units

***

Record 18
Computed, not measured: CaBi3Ir after structural relaxation at the PBE level of DFT.

a b c (Å): 5.4628 5.4628 5.4628
angles (deg): 90.00 90.00 90.00
Space group Pm-3m (No. 221)
Unique sites:
Ca: 0.0000 0.0000 0.0000 [1 per cell]
Bi: 0.0000 0.5000 0.5000 [3 per cell]
Ir: 0.5000 0.5000 0.5000 [1 per cell]

Values from the calculation:
Formation enthalpy at 0 K: 79 kJ/mol of formula units
Energy relative to the lowest polymorph listed for this composition: 0 kJ/mol of formula units

***

Record 19
Computed, not measured: CaBiIr2 after structural relaxation at the PBE level of DFT.

a b c (Å): 7.6641 7.6641 6.0951
angles (deg): 90.00 90.00 90.00
Space group I-42d (No. 122)
Unique sites:
Ca: 0.0000 0.0000 0.0000 [4 per cell]
Bi: 0.0000 0.0000 0.5000 [4 per cell]
Ir: 0.2196 0.2500 0.6250 [8 per cell]

Values from the calculation:
Formation enthalpy at 0 K: 172 kJ/mol of formula units

***

Record 20
Computed, not measured: CaBi4Ir2 after structural relaxation at the PBE level of DFT.

a b c (Å): 5.6658 5.6658 13.9286
angles (deg): 90.00 90.00 90.00
Space group I4/mmm (No. 139)
Unique sites:
Ca: 0.0000 0.0000 0.0000 [2 per cell]
Bi: 0.0000 0.0000 0.2261 [4 per cell]
Bi: 0.0000 0.5000 0.0000 [4 per cell]
Ir: 0.0000 0.0000 0.4084 [4 per cell]

Values from the calculation:
Formation enthalpy at 0 K: 448 kJ/mol of formula units

***

Record 21
Computed, not measured: NaCaBiIr2 after structural relaxation at the PBE level of DFT.

a b c (Å): 4.8371 4.8371 4.6476
angles (deg): 90.00 90.00 90.00
Space group P4/mmm (No. 123)
Unique sites:
Na: 0.0000 0.0000 0.0000 [1 per cell]
Ca: 0.0000 0.0000 0.5000 [1 per cell]
Bi: 0.5000 0.5000 0.5000 [1 per cell]
Ir: 0.0000 0.5000 0.0000 [2 per cell]

Values from the calculation:
Formation enthalpy at 0 K: 526 kJ/mol of formula units

***

Record 22
Computed, not measured: CaBiIrO6 after structural relaxation at the PBE level of DFT.

a b c (Å): 5.5991 5.5991 9.1816
angles (deg): 90.00 90.00 120.00
Space group P-31c (No. 163)
Unique sites:
Ca: 0.3333 0.6667 0.2500 [2 per cell]
Bi: 0.0000 0.0000 0.0000 [2 per cell]
Ir: 0.3333 0.6667 0.7500 [2 per cell]
O: 0.0487 0.3816 0.6303 [12 per cell]

Values from the calculation:
ΔE_f (raw): -1.268 eV/atom

***

Record 23
Computed, not measured: Ca2BiIrO8 after structural relaxation at the PBE level of DFT.

a b c (Å): 7.1048 7.3531 6.6660
angles (deg): 90.00 90.00 90.00
Space group Cmmm (No. 65)
Unique sites:
Ca: 0.0000 0.0000 0.2484 [4 per cell]
Bi: 0.0000 0.5000 0.5000 [2 per cell]
Ir: 0.0000 0.5000 0.0000 [2 per cell]
O: 0.0000 0.3236 0.2203 [8 per cell]
O: 0.2079 0.0000 0.5000 [4 per cell]
O: 0.2423 0.0000 0.0000 [4 per cell]

Values from the calculation:
ΔE_f (raw): -1.463 eV/atom

***

Record 24
Computed, not measured: CaBi2IrO8 after structural relaxation at the PBE level of DFT.

a b c (Å): 5.0278 6.8579 5.0534
angles (deg): 90.00 90.92 90.00
Space group P2/m (No. 10)
Unique sites:
Ca: 0.0000 0.0000 0.0000 [1 per cell]
Bi: 0.5000 0.2512 0.5000 [2 per cell]
Ir: 0.0000 0.5000 0.0000 [1 per cell]
O: 0.2111 0.2890 0.1575 [4 per cell]
O: 0.2295 0.5000 0.7012 [2 per cell]
O: 0.2969 0.0000 0.6643 [2 per cell]

Values from the calculation:
ΔE_f (raw): -1.193 eV/atom